# 1
Below is a relaxed Th6IrPt2Rh3 crystal, with properties calculated at the PBE-GGA level.

Unit cell a=18.057 b=4.135 c=8.311 alpha=90.00 beta=103.37 gamma=90.00
Space group C2/m (No. 12)
One atom of each set of equivalent atoms:
Th1 0.002 0.000 0.253 x4
Th2 0.164 0.500 0.089 x4
Th3 0.165 0.500 0.578 x4
Ir1 0.000 0.500 0.500 x2
Pt1 0.167 0.000 0.836 x4
Rh1 0.000 0.500 0.000 x2
Rh2 0.169 0.000 0.334 x4

* E_tot: -199.88 eV for the cell shown
* energy relative to the elements: -1.035 eV per atom
* DOS at the Fermi energy: 5.3 states/eV/f.u.
* spin magnetization: 0.00 μB/f.u.

=====

# 2
Below is a relaxed Th6Ir2Pt3Rh crystal, with properties calculated at the PBE-GGA level.

Unit cell a=18.167 b=4.165 c=8.326 alpha=90.00 beta=103.49 gamma=90.00
Space group C2/m (No. 12)
One atom of each set of equivalent atoms:
Th1 0.002 0.000 0.245 x4
Th2 0.165 0.500 0.089 x4
Th3 0.169 0.500 0.577 x4
Ir1 0.166 0.000 0.332 x4
Pt1 0.000 0.500 0.500 x2
Pt2 0.166 0.000 0.833 x4
Rh1 0.000 0.500 0.000 x2

* E_tot: -201.99 eV for the cell shown
* energy relative to the elements: -1.107 eV per atom
* DOS at the Fermi energy: 6.1 states/eV/f.u.
* spin magnetization: 0.00 μB/f.u.

=====

# 3
Below is a relaxed TiIrPtRh2 crystal, with properties calculated at the PBE-GGA level.

Unit cell a=4.701 b=4.701 c=4.544 alpha=90.00 beta=90.00 gamma=90.00
Space group P4/mmm (No. 123)
One atom of each set of equivalent atoms:
Ti1 0.000 0.000 0.000 x1
Ir1 0.000 0.000 0.500 x1
Pt1 0.500 0.500 0.000 x1
Rh1 0.000 0.500 0.500 x2

* E_tot: -32.55 eV for the cell shown
* energy relative to the elements: 0.989 eV per atom
* DOS at the Fermi energy: 6.8 states/eV/f.u.
* spin magnetization: 0.00 μB/f.u.

=====

# 4
Below is a relaxed UIrPtRh crystal, with properties calculated at the PBE-GGA level.

Unit cell a=3.949 b=4.121 c=4.133 alpha=90.00 beta=90.00 gamma=90.00
Space group Pmmm (No. 47)
One atom of each set of equivalent atoms:
U1 0.000 0.000 0.000 x1
Ir1 0.500 0.000 0.500 x1
Pt1 0.000 0.500 0.500 x1
Rh1 0.500 0.500 0.000 x1

* E_tot: -36.31 eV for the cell shown
* energy relative to the elements: -0.693 eV per atom
* DOS at the Fermi energy: 3.4 states/eV/f.u.
* spin magnetization: 0.15 μB/f.u.

=====

# 5
Below is a relaxed VIrPtRh crystal, with properties calculated at the PBE-GGA level.

Unit cell a=3.803 b=3.852 c=3.898 alpha=90.00 beta=90.00 gamma=90.00
Space group Pmmm (No. 47)
One atom of each set of equivalent atoms:
V1 0.000 0.000 0.000 x1
Ir1 0.500 0.500 0.000 x1
Pt1 0.000 0.500 0.500 x1
Rh1 0.500 0.000 0.500 x1

* E_tot: -33.10 eV for the cell shown
* energy relative to the elements: -0.433 eV per atom
* DOS at the Fermi energy: 3.3 states/eV/f.u.
* spin magnetization: 0.19 μB/f.u.

=====

# 6
Below is a relaxed IrPtRh3W crystal, with properties calculated at the PBE-GGA level.

Unit cell a=2.761 b=14.318 c=8.961 alpha=90.00 beta=90.00 gamma=90.00
Space group Cmcm (No. 63)
One atom of each set of equivalent atoms:
Ir1 0.000 0.054 0.250 x4
Pt1 0.000 0.279 0.750 x4
Rh1 0.000 0.161 0.502 x8
Rh2 0.000 0.389 0.250 x4
W1 0.000 0.500 0.000 x4

* E_tot: -203.65 eV for the cell shown
* energy relative to the elements: -0.167 eV per atom
* DOS at the Fermi energy: 5.1 states/eV/f.u.
* spin magnetization: 0.00 μB/f.u.

=====

# 7
Below is a relaxed ZrIrPtRh crystal, with properties calculated at the PBE-GGA level.

Unit cell a=3.942 b=4.017 c=4.030 alpha=90.00 beta=90.00 gamma=90.00
Space group Pmmm (No. 47)
One atom of each set of equivalent atoms:
Zr1 0.000 0.000 0.000 x1
Ir1 0.500 0.500 0.000 x1
Pt1 0.000 0.500 0.500 x1
Rh1 0.500 0.000 0.500 x1

* E_tot: -34.11 eV for the cell shown
* energy relative to the elements: -0.828 eV per atom
* DOS at the Fermi energy: 2.1 states/eV/f.u.
* spin magnetization: 0.00 μB/f.u.

=====

# 8
Below is a relaxed IrRu2Pt crystal, with properties calculated at the PBE-GGA level.

Unit cell a=5.451 b=5.462 c=7.764 alpha=90.00 beta=90.00 gamma=90.00
Space group F222 (No. 22)
One atom of each set of equivalent atoms:
Ir1 0.000 0.000 0.000 x4
Ru1 0.000 0.000 0.500 x4
Ru2 0.250 0.250 0.750 x4
Pt1 0.250 0.250 0.250 x4

* E_tot: -133.42 eV for the cell shown
* energy relative to the elements: 0.025 eV per atom
* DOS at the Fermi energy: 4.4 states/eV/f.u.
* spin magnetization: 0.00 μB/f.u.